(1)
Crystalline Pr6TlGa2 at its relaxed geometry. Source: the Alexandria database, functional PBE.

abc: 9.023 9.023 9.023
angles: 105.30 111.31 111.88
Sites, in units of the cell vectors:
Pr: 0.537 0.720 0.817
Pr: 0.293 0.617 0.323
Pr: 0.293 0.970 0.677
Pr: 0.203 0.759 0.962
Pr: 0.707 0.030 0.323
Pr: 0.797 0.241 0.038
Pr: 0.797 0.759 0.556
Pr: 0.903 0.720 0.183
Pr: 0.097 0.280 0.817
Pr: 0.203 0.241 0.444
Pr: 0.707 0.383 0.677
Pr: 0.463 0.280 0.183
Tl: 0.000 0.000 0.000
Tl: 0.000 0.500 0.500
Ga: 0.500 0.620 0.120
Ga: 0.500 0.380 0.880
Ga: 0.358 0.000 0.358
Ga: 0.642 0.000 0.642

## Properties
Energy of formation from the pure elements ... -0.349 eV per atom
Energy relative to the lowest polymorph listed for this composition ... 0.000 eV per atom
Space-group type ... Immm

=====

(2)
Crystalline SrAc2NdSe4 at its relaxed geometry. Source: the Alexandria database, functional PBE.

abc: 4.376 7.613 7.634
angles: 70.82 90.00 90.00
Sites, in units of the cell vectors:
Se: 0.500 0.738 0.256
Se: 0.000 0.741 0.750
Se: 0.500 0.262 0.744
Se: 0.000 0.259 0.250
Nd: 0.000 0.500 0.500
Ac: 0.000 0.000 0.000
Ac: 0.500 0.000 0.500
Sr: 0.500 0.500 0.000

## Properties
Raw formation energy ... -1.88 eV per atom
Space-group type ... P2/m

=====

no.,volume (Å³/cell)
1,563.3
2,240.2